# 1
Ba2InSbAs | Alexandria via LeMat-Bulk | PBE | optimized geometry; uncorrected formation energy = -0.5633 eV/atom; D(E_F) = 0.39 states/eV per atom; polymorph energy (0 for the lowest one) = 0.2484 eV per atom
1.0
6.384 0.000 0.000
0.000 6.384 0.000
0.000 0.000 5.274
Ba In Sb As
2 1 1 1
Cartesian
0.000 3.192 0.000
3.192 0.000 0.000
0.000 0.000 2.637
3.192 3.192 2.637
0.000 0.000 0.000



# 2
Ba2In2SbAs2 | Alexandria via LeMat-Bulk | PBE | optimized geometry; uncorrected formation energy = -0.5857 eV/atom; D(E_F) = 0.51 states/eV per atom
1.0
6.936 -2.207 0.000
6.936 2.207 0.000
-4.369 0.000 8.204
Ba In Sb As
2 2 1 2
Cartesian
-0.643 0.000 1.942
10.146 0.000 6.262
3.280 0.000 1.468
6.222 0.000 6.736
4.751 0.000 4.102
0.839 0.000 7.480
8.663 0.000 0.724



# 3
BaInAs2Se8 | Alexandria via LeMat-Bulk | PBE | optimized geometry; uncorrected formation energy = -0.3754 eV/atom; D(E_F) = 0.56 states/eV per atom
1.0
6.255 0.000 0.000
-3.128 5.417 0.000
0.000 0.000 9.814
Ba In As Se
1 1 2 8
Cartesian
0.000 0.000 0.000
0.000 0.000 4.907
0.000 3.611 7.347
3.128 1.806 2.467
-1.757 3.716 3.113
0.788 2.038 3.113
0.000 3.611 9.666
2.159 0.337 6.701
0.969 5.080 3.113
3.128 1.806 0.148
2.340 3.379 6.701
4.884 1.701 6.701



# 4
Ba2InAsSe5 | Alexandria via LeMat-Bulk | PBE | optimized geometry; uncorrected formation energy = -1.1178 eV/atom
1.0
2.140 -9.603 0.000
2.140 9.603 0.000
0.000 0.000 13.220
Ba In As Se
4 2 2 10
Cartesian
2.140 7.407 6.610
2.140 7.089 1.510
2.140 -7.089 8.120
2.140 -7.407 0.000
2.140 1.248 3.487
2.140 -1.248 10.097
2.140 5.338 11.002
2.140 -5.338 4.392
2.140 8.729 11.583
2.140 4.185 6.107
2.140 3.714 2.459
2.140 2.914 10.707
2.140 0.033 7.844
2.140 -0.033 1.233
2.140 -2.914 4.097
2.140 -3.714 9.069
2.140 -4.185 12.717
2.140 -8.729 4.973



# 5
Ba2In2Sn2As | Alexandria via LeMat-Bulk | PBE | optimized geometry; energy of formation from the pure elements = -0.513 eV/atom; D(E_F) = 0.26 states/eV per atom
1.0
6.652 -2.190 0.000
6.652 2.190 0.000
-2.513 0.000 8.099
Ba In Sn As
2 2 2 1
Cartesian
-0.568 0.000 1.834
11.360 0.000 6.266
2.872 0.000 3.003
7.920 0.000 5.096
1.656 0.000 7.510
9.136 0.000 0.589
5.396 0.000 4.050



# 6
BaSr2In2As4 | Alexandria via LeMat-Bulk | PBE | optimized geometry; energy of formation from the pure elements = -0.784 eV/atom; D(E_F) = 0.08 states/eV per atom
1.0
8.388 -2.208 0.000
8.388 2.208 0.000
-2.538 0.000 7.283
Ba Sr In As
1 2 2 4
Cartesian
0.000 0.000 0.000
0.740 0.000 4.001
13.498 0.000 3.282
5.514 0.000 0.079
8.725 0.000 7.204
3.111 0.000 1.619
7.219 0.000 2.217
7.019 0.000 5.066
11.127 0.000 5.664



# 7
Ba2SrIn2As4 | Alexandria via LeMat-Bulk | PBE | optimized geometry; energy of formation from the pure elements = -0.838 eV/atom; D(E_F) = 0.03 states/eV per atom
1.0
8.424 -2.208 0.000
8.424 2.208 0.000
-2.515 0.000 7.495
Ba Sr In As
2 1 2 4
Cartesian
1.990 0.000 0.381
12.343 0.000 7.114
-1.258 0.000 3.747
4.313 0.000 3.846
10.019 0.000 3.648
1.825 0.000 5.287
6.086 0.000 5.799
8.246 0.000 1.696
12.508 0.000 2.207



# 8
Ba2InTeAs | Alexandria via LeMat-Bulk | PBE | optimized geometry; uncorrected formation energy = -0.4267 eV/atom; D(E_F) = 0.90 states/eV per atom
1.0
6.234 0.000 0.000
0.000 6.234 0.000
0.000 0.000 5.685
Ba In Te As
2 1 1 1
Cartesian
0.000 3.117 0.000
3.117 0.000 0.000
0.000 0.000 2.843
3.117 3.117 2.843
3.117 3.117 0.000



# 9
Ba2InTe5As | Alexandria via LeMat-Bulk | PBE | optimized geometry; uncorrected formation energy = -0.8775 eV/atom
1.0
2.277 -10.332 0.000
2.277 10.332 0.000
0.000 0.000 13.976
Ba In Te As
4 2 10 2
Cartesian
2.277 7.998 6.988
2.277 7.639 1.635
2.277 -7.639 8.623
2.277 -7.998 0.000
2.277 1.394 3.664
2.277 -1.394 10.652
2.277 9.323 12.295
2.277 4.554 6.519
2.277 4.059 2.601
2.277 3.121 11.332
2.277 0.048 8.257
2.277 -0.048 1.269
2.277 -3.121 4.344
2.277 -4.059 9.589
2.277 -4.554 13.507
2.277 -9.323 5.308
2.277 5.784 11.659
2.277 -5.784 4.671



# 10
BaTl2InAs2 | Alexandria via LeMat-Bulk | PBE | optimized geometry; energy of formation from the pure elements = -0.387 eV/atom; D(E_F) = 0.36 states/eV per atom
1.0
4.594 0.000 0.000
0.000 9.879 0.000
0.000 0.000 8.142
Ba Tl In As
2 4 2 4
Cartesian
0.000 0.998 0.000
0.000 8.881 4.071
0.000 3.242 2.745
0.000 6.637 6.816
2.297 4.538 0.417
2.297 5.341 4.488
2.297 1.761 5.191
2.297 8.118 1.120
0.000 3.296 5.744
0.000 6.583 1.673
2.297 0.814 2.465
2.297 9.065 6.536



# 11
BaTlInAs2 | Alexandria via LeMat-Bulk | PBE | optimized geometry; energy of formation from the pure elements = -0.519 eV/atom; D(E_F) = 0.01 states/eV per atom
1.0
8.642 -2.254 0.000
8.642 2.254 0.000
-5.597 0.000 8.446
Ba Tl In As
2 2 2 4
Cartesian
2.514 0.000 2.296
9.172 0.000 6.150
6.412 0.000 0.825
5.275 0.000 7.621
-1.288 0.000 3.554
12.975 0.000 4.892
-1.922 0.000 6.244
2.922 0.000 5.592
8.764 0.000 2.853
13.609 0.000 2.202



# 12
Ba2ZnInAs | Alexandria via LeMat-Bulk | PBE | optimized geometry; energy of formation from the pure elements = 0.089 eV/atom; D(E_F) = 1.30 states/eV per atom
1.0
6.623 0.000 0.000
0.000 6.623 0.000
0.000 0.000 5.143
Ba Zn In As
2 1 1 1
Cartesian
0.000 3.312 0.000
3.312 0.000 0.000
0.000 0.000 2.571
3.312 3.312 0.000
3.312 3.312 2.571



Number 1: M_tot 0.00 μB/f.u., E -18.2 eV/cell. Number 2: M_tot 0.00 μB/f.u., E -26.8 eV/cell. Number 3: M_tot 0.00 μB/f.u., E -46.3 eV/cell. Number 4: M_tot 0.00 μB/f.u., E -77.4 eV/cell. Number 5: M_tot 0.00 μB/f.u., E -25.6 eV/cell. Number 6: M_tot 0.00 μB/f.u., E -36.4 eV/cell. Number 7: M_tot 0.00 μB/f.u., E -37.1 eV/cell. Number 8: M_tot 0.00 μB/f.u., E -16.5 eV/cell. Number 9: M_tot 0.00 μB/f.u., E -69.7 eV/cell. Number 10: M_tot 0.00 μB/f.u., E -42.0 eV/cell. Number 11: M_tot 0.00 μB/f.u., E -37.8 eV/cell. Number 12: M_tot 0.00 μB/f.u., E -12.1 eV/cell.